Here is KMgIn2Rh after structural relaxation from the Alexandria database. Energies are from PBE-GGA.

The structure in extended XYZ format:
```
5
Lattice="5.204 0.000 0.000 0.000 5.204 0.000 0.000 0.000 5.146" Properties=species:S:1:pos:R:3 pbc="T T T"
K 0.000 0.000 0.000
Mg 2.602 2.602 0.000
In 0.000 2.602 2.573
In 2.602 0.000 2.573
Rh 2.602 2.602 2.573
```

Output
The total energy is -16.81 eV/cell. The value obtained for the volume is 139.4 Å³/cell. The calculation puts the density at 4.72 g cm⁻³. The magnetic moment is 0.00 μB per formula unit. The value obtained for the formation energy from the elements is -1.3 eV/f.u. The density of states at the Fermi level comes out at 2.32 states/eV/cell.